No. 1
# SrNp2BeO8

A geometry-optimized SrNp2BeO8 structure (GGA-PBE, Alexandria via LeMat-Bulk).

```
12
Lattice="-1.1033 4.1959 0.4730 -5.4898 -0.7710 0.3003 1.0386 -0.1230 6.9514" Properties=species:S:1:pos:R:3 pbc="T T T"
Sr 0.5193 -0.0615 3.4757
Np -2.6884 1.4648 5.6631
Np -2.8661 1.8372 2.0615
Be 0.0000 0.0000 0.0000
O -3.2729 -0.0430 2.1894
O -4.4153 2.0180 0.8431
O -1.7367 3.6396 1.6897
O -2.2816 3.3449 5.5353
O -1.1393 1.2840 6.8816
O -3.8178 -0.3377 6.0350
O -4.0595 1.6987 4.2150
O -1.4950 1.6032 3.5097
```

Computed properties:
raw total energy: -102.41 eV/f.u.
raw formation energy: -2.6210 eV per atom
SG: P-1 (2)

=====

No. 2
# NpBeTlO5

A geometry-optimized NpBeTlO5 structure (GGA-PBE, Alexandria via LeMat-Bulk).

```
16
Lattice="5.8664 0.1569 -0.1949 -1.5625 5.6567 -0.1949 -2.0340 -2.7475 7.3061" Properties=species:S:1:pos:R:3 pbc="T T T"
Np -1.0170 -1.3737 3.6531
Np 0.0000 0.0000 0.0000
Be 3.0786 1.1574 1.6316
Be -0.8087 1.9087 5.2847
Tl 0.4457 3.1066 1.6316
Tl 1.8242 -0.0406 5.2847
O -1.5993 4.6206 1.6316
O 3.8692 -1.5545 5.2847
O 4.4705 1.3142 0.6600
O -2.2006 1.7518 6.2563
O 3.3349 -0.2197 2.6032
O -1.0650 3.2857 4.3131
O 2.8822 2.6206 2.4716
O -0.6123 0.4455 4.4447
O 1.6218 0.9181 0.7917
O 0.6481 2.1479 6.1247
```

Computed properties:
raw total energy: -60.65 eV/f.u.
raw formation energy: -2.1036 eV per atom
SG: C2/c (15)